# PBE TcAsP2, optimized geometry
data_TcAsP2
_cell_length_a 4.364
_cell_length_b 4.201
_cell_length_c 7.423
_cell_angle_alpha 90.00
_cell_angle_beta 90.00
_cell_angle_gamma 90.00
_space_group_name_H-M_alt 'A m m 2'
_space_group_IT_number 38
loop_
_space_group_symop_operation_xyz
'x,y,z'
'-x,-y,z'
'-x,y,z'
'x,-y,z'
'x,y+1/2,z+1/2'
'-x,-y+1/2,z+1/2'
'-x,y+1/2,z+1/2'
'x,-y+1/2,z+1/2'
loop_
_atom_site_label
_atom_site_type_symbol
_atom_site_fract_x
_atom_site_fract_y
_atom_site_fract_z
_atom_site_occupancy
Tc1 Tc 0.000 0.000 0.000 1
As1 As 0.500 0.000 0.192 1
P1 P 0.000 0.000 0.648 1
P2 P 0.500 0.000 0.846 1
# D(E_F) ... 0.166 states/eV/atom
# Electronic total energy ... -51.79 eV per cell

# PBE TcAsP2, optimized geometry
data_TcAsP2
_cell_length_a 2.944
_cell_length_b 4.837
_cell_length_c 8.915
_cell_angle_alpha 90.00
_cell_angle_beta 90.00
_cell_angle_gamma 90.00
_space_group_name_H-M_alt 'C m m 2'
_space_group_IT_number 35
loop_
_space_group_symop_operation_xyz
'x,y,z'
'-x,-y,z'
'-x,y,z'
'x,-y,z'
'x+1/2,y+1/2,z'
'-x+1/2,-y+1/2,z'
'-x+1/2,y+1/2,z'
'x+1/2,-y+1/2,z'
loop_
_atom_site_label
_atom_site_type_symbol
_atom_site_fract_x
_atom_site_fract_y
_atom_site_fract_z
_atom_site_occupancy
Tc1 Tc 0.000 0.000 0.000 1
As1 As 0.000 0.500 0.251 1
P1 P 0.000 0.000 0.545 1
P2 P 0.000 0.500 0.796 1
# D(E_F) ... 0.566 states/eV/atom
# Electronic total energy ... -48.07 eV per cell

# PBE TcAsP4, optimized geometry
data_TcAsP4
_cell_length_a 7.102
_cell_length_b 7.102
_cell_length_c 7.102
_cell_angle_alpha 90.00
_cell_angle_beta 90.00
_cell_angle_gamma 90.00
_space_group_name_H-M_alt 'F -4 3 m'
_space_group_IT_number 216
_space_group_name_Hall 'F -4 2 3'
loop_
_atom_site_label
_atom_site_type_symbol
_atom_site_fract_x
_atom_site_fract_y
_atom_site_fract_z
_atom_site_occupancy
Tc1 Tc 0.000 0.000 0.000 1
As1 As 0.250 0.250 0.250 1
P1 P 0.121 0.121 0.621 1
# D(E_F) ... 1.034 states/eV/atom
# Electronic total energy ... -125.50 eV per cell

# PBE TcAsP2, optimized geometry
data_TcAsP2
_cell_length_a 7.905
_cell_length_b 3.108
_cell_length_c 5.964
_cell_angle_alpha 90.00
_cell_angle_beta 97.49
_cell_angle_gamma 90.00
_space_group_name_H-M_alt 'C 1 m 1'
_space_group_IT_number 8
loop_
_space_group_symop_operation_xyz
'x,y,z'
'x,-y,z'
'x+1/2,y+1/2,z'
'x+1/2,-y+1/2,z'
loop_
_atom_site_label
_atom_site_type_symbol
_atom_site_fract_x
_atom_site_fract_y
_atom_site_fract_z
_atom_site_occupancy
Tc1 Tc 0.000 0.000 0.000 1
As1 As 0.224 0.500 0.270 1
P1 P 0.276 0.000 0.902 1
P2 P 0.454 0.000 0.666 1
# D(E_F) ... 0.266 states/eV/atom
# Electronic total energy ... -51.86 eV per cell

# PBE TcAsP2, optimized geometry
data_TcAsP2
_cell_length_a 5.502
_cell_length_b 6.940
_cell_length_c 3.066
_cell_angle_alpha 90.00
_cell_angle_beta 90.00
_cell_angle_gamma 90.00
_space_group_name_H-M_alt 'C m m m'
_space_group_IT_number 65
_space_group_name_Hall '-C 2 2'
loop_
_atom_site_label
_atom_site_type_symbol
_atom_site_fract_x
_atom_site_fract_y
_atom_site_fract_z
_atom_site_occupancy
Tc1 Tc 0.000 0.000 0.000 1
As1 As 0.000 0.500 0.000 1
P1 P 0.250 0.250 0.500 1
# D(E_F) ... 0.808 states/eV/atom
# Electronic total energy ... -48.26 eV per cell

# PBE Tc2AsP, optimized geometry
data_Tc2AsP
_cell_length_a 3.0140
_cell_length_b 3.0140
_cell_length_c 23.1750
_cell_angle_alpha 90.00
_cell_angle_beta 90.00
_cell_angle_gamma 120.00
_space_group_name_H-M_alt 'R 3 m'
_space_group_IT_number 160
_space_group_name_Hall 'R 3 -2"'
loop_
_atom_site_label
_atom_site_type_symbol
_atom_site_fract_x
_atom_site_fract_y
_atom_site_fract_z
_atom_site_occupancy
Tc1 Tc 0.0000 0.0000 0.0000 1
Tc2 Tc 0.0000 0.0000 0.2371 1
As1 As 0.0000 0.0000 0.7435 1
P1 P 0.0000 0.0000 0.5022 1
# D(E_F) ... 0.774 states/eV/atom
# Offset from the most stable computed form ... 281 meV/atom

Question: What is the D(E_F) in the fifth record?
Answer: 0.808 states/eV/atom

Question: The highest D(E_F) belongs to which entry?
Answer: TcAsP4

Question: The highest D(E_F) belongs to which entry?
Answer: TcAsP4

Question: Among the records above, which one has the highest D(E_F)?
Answer: TcAsP4